Here is a geometry-optimized HgGe2Au2 structure from the Alexandria database. Energies are from GGA-PBE.

Calculated formation energy (meV per atom): 125
ΔE to the lowest computed polymorph (meV/atom): 75.8
Theoretical density (Mg/m³): 11.166

a = 4.615 Å, b = 4.615 Å, c = 6.111 Å
α = 67.82°, β = 67.82°, γ = 90.00°
Element x y z (fractional)
Au 0.750 0.250 0.500
Au 0.250 0.750 0.500
Ge 0.374 0.374 0.252
Ge 0.626 0.626 0.748
Hg 0.000 0.000 0.000